LiPa2FeO8 (GGA+U, relaxed); space group = P-3m1, No. 164; crystal system = trigonal; total magnetic moment = 0.2482 μB/atom; DFT total energy = -7.74 eV per atom; calculated volume = 13.1 Å³/atom
1.0
5.165 0.000 0.000
-2.582 4.473 0.000
0.000 0.000 6.826
Li Pa Fe O
1 2 1 8
Direct
0.000 0.000 0.000
0.333 0.667 0.346
0.667 0.333 0.654
0.000 0.000 0.500
0.171 0.341 0.650
0.171 0.829 0.650
0.333 0.667 0.074
0.341 0.171 0.350
0.659 0.829 0.650
0.667 0.333 0.926
0.829 0.171 0.350
0.829 0.659 0.350